CaNd5Er | PBE | optimized geometry

Geometry as CIF:
```
data_CaNd5Er
_chemical_formula_sum 'Ca4 Nd20 Er4'
_symmetry_space_group_name_H-M 'C 1 2/c 1'
_symmetry_Int_Tables_number 15
_symmetry_space_group_name_Hall '-C 2yc'
_cell_length_a 10.012
_cell_length_b 7.466
_cell_length_c 13.526
_cell_angle_alpha 90.00
_cell_angle_beta 90.38
_cell_angle_gamma 90.00
loop_
_atom_site_label
_atom_site_fract_x
_atom_site_fract_y
_atom_site_fract_z
Ca1 0.000 0.183 0.250
Nd1 0.000 0.374 0.750
Nd2 0.198 0.125 0.608
Nd3 0.203 0.125 0.888
Er1 0.000 0.500 0.000
```

Calculated values
- Crystal system: monoclinic
- E_tot: -4.160 eV/atom
- M_tot: 0.00 Bohr magnetons per cell

Pa2FeNi9 | PBE | optimized geometry

Geometry as CIF:
```
data_Pa2FeNi9
_chemical_formula_sum 'Pa6 Fe3 Ni27'
_symmetry_space_group_name_H-M 'R -3 m'
_symmetry_Int_Tables_number 166
_symmetry_space_group_name_Hall '-R 3 2"'
_cell_length_a 4.8449
_cell_length_b 4.8449
_cell_length_c 24.2551
_cell_angle_alpha 90.00
_cell_angle_beta 90.00
_cell_angle_gamma 120.00
loop_
_atom_site_label
_atom_site_fract_x
_atom_site_fract_y
_atom_site_fract_z
Pa1 0.0000 0.0000 0.1316
Fe1 0.0000 0.0000 0.0000
Ni1 0.0000 0.0000 0.3329
Ni2 0.0000 0.0000 0.5000
Ni3 0.0016 0.5008 0.9177
```

Calculated values
- Offset from the most stable computed form: 64 meV/atom
- Crystal system: trigonal
- E_tot: -6.796 eV/atom
- M_tot: 10.83 Bohr magnetons per cell

CaDyTm | PBE | optimized geometry

Geometry as CIF:
```
data_CaDyTm
_chemical_formula_sum 'Ca1 Dy1 Tm1'
_symmetry_space_group_name_H-M 'P 3 m 1'
_symmetry_Int_Tables_number 156
_symmetry_space_group_name_Hall 'P 3 -2"'
_cell_length_a 3.5856
_cell_length_b 3.5856
_cell_length_c 9.0592
_cell_angle_alpha 90.00
_cell_angle_beta 90.00
_cell_angle_gamma 120.00
loop_
_atom_site_label
_atom_site_fract_x
_atom_site_fract_y
_atom_site_fract_z
Ca1 0.0000 0.0000 0.0000
Dy1 0.3333 0.6667 0.6481
Tm1 0.6667 0.3333 0.3458
```

Calculated values
- Offset from the most stable computed form: 15 meV/atom
- Crystal system: trigonal
- E_tot: -3.604 eV/atom
- M_tot: 0.00 Bohr magnetons per cell

| no. | formation enthalpy at 0 K (meV per atom) |
| --- | --- |
| 1 | 183 |
| 2 | -172 |
| 3 | 88 |